DFT (PBE-GGA) results for Pu2HfSe5 after structural relaxation.

CIF file:
```
data_Pu2HfSe5
_chemical_formula_sum 'Pu4 Hf2 Se10'
_symmetry_space_group_name_H-M 'P 1'
_symmetry_Int_Tables_number 1
_symmetry_space_group_name_Hall 'P 1'
_cell_length_a 7.310
_cell_length_b 7.310
_cell_length_c 13.152
_cell_angle_alpha 90.00
_cell_angle_beta 90.00
_cell_angle_gamma 135.26
loop_
_atom_site_label
_atom_site_type_symbol
_atom_site_fract_x
_atom_site_fract_y
_atom_site_fract_z
_atom_site_occupancy
Pu1 Pu 0.150 0.850 0.563 1
Pu2 Pu 0.150 0.850 0.937 1
Pu3 Pu 0.850 0.150 0.063 1
Pu4 Pu 0.850 0.150 0.437 1
Hf1 Hf 0.199 0.801 0.250 1
Hf2 Hf 0.801 0.199 0.750 1
Se1 Se 0.049 0.951 0.125 1
Se2 Se 0.049 0.951 0.375 1
Se3 Se 0.272 0.728 0.750 1
Se4 Se 0.317 0.683 0.083 1
Se5 Se 0.317 0.683 0.417 1
Se6 Se 0.683 0.317 0.583 1
Se7 Se 0.683 0.317 0.917 1
Se8 Se 0.728 0.272 0.250 1
Se9 Se 0.951 0.049 0.625 1
Se10 Se 0.951 0.049 0.875 1
```

Output
M_tot = 10.00 μB/f.u.
uncorrected energy = -133.01 eV for the cell shown
calculated volume = 30.922 Å³ per atom